(1)
Entry from Alexandria: Pm2Th4Ge3N2 after structural relaxation (PBE).

abc: 4.7550 4.7550 24.5466
angles: 90.00 90.00 90.00
Space group I4/mmm (No. 139)
Symmetry-distinct sites (fractional):
Pm1 0.0000 0.0000 0.2005 x4
Th1 0.0000 0.5000 0.0806 x8
Ge1 0.0000 0.0000 0.3262 x4
Ge2 0.0000 0.0000 0.5000 x2
N1 0.0000 0.0000 0.1014 x4

Properties
The value obtained for the total DFT energy (no corrections) is -159.69 eV per cell.


(2)
Entry from Alexandria: Al5Ir4Au after structural relaxation (PBE).

abc: 2.9518 2.9518 16.4562
angles: 90.00 90.00 90.00
Space group P4/mmm (No. 123)
Symmetry-distinct sites (fractional):
Al1 0.0000 0.0000 0.0000 x1
Al2 0.0000 0.0000 0.1916 x2
Al3 0.0000 0.0000 0.3839 x2
Ir1 0.5000 0.5000 0.0957 x2
Ir2 0.5000 0.5000 0.2900 x2
Au1 0.5000 0.5000 0.5000 x1

Properties
As for the formation energy: -804 meV/atom.


Per-record ρ, g cm⁻³: 8.76, 12.75
Per-record volume, Å³/cell: 555.0, 143.4